Entry 1:
Below is a relaxed Ba4Pb2Cl crystal, with properties calculated at the PBE level.

Cell: 10.067 10.067 10.067 Å, 145.69 145.69 49.31°
Sites, in units of the cell vectors:
Ba  0.000  0.500  0.500
Ba  0.187  0.187  0.000
Ba  0.500  0.000  0.500
Ba  0.813  0.813  0.000
Pb  0.378  0.378  0.000
Pb  0.622  0.622  0.000
Cl  0.000  0.000  0.000

raw total energy	-3.251	eV per atom
ΔE_f (raw)	-0.828	eV per atom

Entry 2:
Below is a relaxed Ba12Pb3Cl5 crystal, with properties calculated at the PBE level.

Cell: 17.026 17.026 17.026 Å, 109.47 109.47 109.47°
Sites, in units of the cell vectors:
Ba  0.041  0.220  0.129
Ba  0.041  0.321  0.912
Ba  0.088  0.629  0.408
Ba  0.088  0.959  0.679
Ba  0.092  0.720  0.679
Ba  0.092  0.871  0.412
Ba  0.129  0.041  0.220
Ba  0.129  0.588  0.908
Ba  0.179  0.220  0.592
Ba  0.179  0.459  0.588
Ba  0.220  0.129  0.041
Ba  0.220  0.592  0.179
Ba  0.280  0.321  0.908
Ba  0.280  0.459  0.371
Ba  0.321  0.908  0.280
Ba  0.321  0.912  0.041
Ba  0.371  0.280  0.459
Ba  0.371  0.592  0.912
Ba  0.408  0.088  0.629
Ba  0.408  0.821  0.780
Ba  0.412  0.092  0.871
Ba  0.412  0.821  0.541
Ba  0.459  0.371  0.280
Ba  0.459  0.588  0.179
Ba  0.541  0.412  0.821
Ba  0.541  0.629  0.720
Ba  0.588  0.179  0.459
Ba  0.588  0.908  0.129
Ba  0.592  0.179  0.220
Ba  0.592  0.912  0.371
Ba  0.629  0.408  0.088
Ba  0.629  0.720  0.541
Ba  0.679  0.088  0.959
Ba  0.679  0.092  0.720
Ba  0.720  0.541  0.629
Ba  0.720  0.679  0.092
Ba  0.780  0.408  0.821
Ba  0.780  0.871  0.959
Ba  0.821  0.541  0.412
Ba  0.821  0.780  0.408
Ba  0.871  0.412  0.092
Ba  0.871  0.959  0.780
Ba  0.908  0.129  0.588
Ba  0.908  0.280  0.321
Ba  0.912  0.041  0.321
Ba  0.912  0.371  0.592
Ba  0.959  0.679  0.088
Ba  0.959  0.780  0.871
Pb  0.125  0.250  0.375
Pb  0.125  0.375  0.750
Pb  0.250  0.375  0.125
Pb  0.250  0.875  0.625
Pb  0.375  0.125  0.250
Pb  0.375  0.750  0.125
Pb  0.625  0.250  0.875
Pb  0.625  0.875  0.750
Pb  0.750  0.125  0.375
Pb  0.750  0.625  0.875
Pb  0.875  0.625  0.250
Pb  0.875  0.750  0.625
Cl  0.000  0.000  0.000
Cl  0.000  0.000  0.500
Cl  0.000  0.500  0.000
Cl  0.000  0.500  0.500
Cl  0.125  0.750  0.875
Cl  0.125  0.875  0.250
Cl  0.250  0.125  0.875
Cl  0.250  0.625  0.375
Cl  0.375  0.250  0.625
Cl  0.375  0.625  0.750
Cl  0.500  0.000  0.000
Cl  0.500  0.000  0.500
Cl  0.500  0.500  0.000
Cl  0.500  0.500  0.500
Cl  0.625  0.375  0.250
Cl  0.625  0.750  0.375
Cl  0.750  0.375  0.625
Cl  0.750  0.875  0.125
Cl  0.875  0.125  0.750
Cl  0.875  0.250  0.125

raw total energy	-3.220	eV per atom
ΔE_f (raw)	-1.049	eV per atom

Entry 3:
Below is a relaxed BaPbCl4 crystal, with properties calculated at the PBE level.

Cell: 6.183 6.183 6.183 Å, 60.00 60.00 60.00°
Sites, in units of the cell vectors:
Ba  0.000  0.000  0.000
Pb  0.250  0.250  0.250
Cl  0.124  0.625  0.625
Cl  0.625  0.124  0.625
Cl  0.625  0.625  0.124
Cl  0.625  0.625  0.625

raw total energy	-2.861	eV per atom
ΔE_f (raw)	-0.691	eV per atom
ΔE to the lowest computed polymorph	1154	meV/atom

Entry 4:
Below is a relaxed BaPbCl2 crystal, with properties calculated at the PBE level.

Cell: 7.149 7.149 7.149 Å, 106.66 106.66 115.26°
Sites, in units of the cell vectors:
Ba  0.000  0.000  0.000
Ba  0.750  0.250  0.500
Pb  0.250  0.750  0.500
Pb  0.500  0.500  0.000
Cl  0.115  0.625  0.990
Cl  0.375  0.365  0.490
Cl  0.635  0.125  0.010
Cl  0.875  0.885  0.510

raw total energy	-3.571	eV per atom
ΔE_f (raw)	-1.240	eV per atom
ΔE to the lowest computed polymorph	161	meV/atom

Entry 5:
Below is a relaxed BaPb2Cl crystal, with properties calculated at the PBE level.

Cell: 7.226 7.226 3.947 Å, 90.00 90.00 131.26°
Sites, in units of the cell vectors:
Ba  0.000  0.000  0.000
Pb  0.000  0.500  0.500
Pb  0.500  0.000  0.500
Cl  0.500  0.500  0.000

raw total energy	-3.367	eV per atom
ΔE_f (raw)	-0.570	eV per atom
ΔE to the lowest computed polymorph	337	meV/atom

Entry 6:
Below is a relaxed BaPbCl4 crystal, with properties calculated at the PBE level.

Cell: 7.249 7.214 7.214 Å, 90.00 90.06 90.00°
Sites, in units of the cell vectors:
Ba  0.000  0.000  0.000
Ba  0.000  0.500  0.500
Pb  0.500  0.000  0.500
Pb  0.500  0.500  0.000
Cl  0.261  0.249  0.251
Cl  0.261  0.251  0.751
Cl  0.261  0.749  0.249
Cl  0.261  0.751  0.749
Cl  0.739  0.249  0.251
Cl  0.739  0.251  0.751
Cl  0.739  0.749  0.249
Cl  0.739  0.751  0.749

raw total energy	-4.014	eV per atom
ΔE_f (raw)	-1.845	eV per atom
ΔE to the lowest computed polymorph	0	meV/atom

Entry 7:
Below is a relaxed BaPbCl2 crystal, with properties calculated at the PBE level.

Cell: 3.742 3.742 11.889 Å, 90.00 90.00 90.00°
Sites, in units of the cell vectors:
Ba  0.000  0.000  0.000
Pb  0.000  0.000  0.500
Cl  0.500  0.500  0.144
Cl  0.500  0.500  0.856

raw total energy	-3.732	eV per atom
ΔE_f (raw)	-1.401	eV per atom
ΔE to the lowest computed polymorph	0	meV/atom

Entry 8:
Below is a relaxed BaPb2Cl crystal, with properties calculated at the PBE level.

Cell: 3.935 3.991 9.227 Å, 90.00 90.16 90.00°
Sites, in units of the cell vectors:
Ba  0.000  0.000  0.000
Pb  0.498  0.500  0.717
Pb  0.996  0.000  0.525
Cl  0.501  0.500  0.158

raw total energy	-3.696	eV per atom
ΔE_f (raw)	-0.900	eV per atom
ΔE to the lowest computed polymorph	8	meV/atom